(1)
An optimized crystal structure of ScC3, computed with PBE.

Summary:
space group = No. 12
volume = 37.1 Å³/cell
polymorph energy (0 for the lowest one) = 0.188 eV/atom
crystal system = monoclinic
ΔH_f (0 K) = 0.44 eV per atom

a = 3.865 Å, b = 3.865 Å, c = 4.026 Å
α = 71.08°, β = 71.08°, γ = 41.14°
Fractional positions:
Sc (0.000, 0.000, 0.000)
C (0.500, 0.500, 0.500)
C (0.306, 0.306, 0.494)
C (0.694, 0.694, 0.506)


(2)
An optimized crystal structure of Sm4MnI5, computed with PBE.

Summary:
space group = No. 12
volume = 374.7 Å³/cell
crystal system = monoclinic
raw formation energy = -0.9247 eV/atom

a = 4.167 Å, b = 9.469 Å, c = 9.993 Å
α = 103.39°, β = 102.03°, γ = 90.00°
Each line ends with the local moment (μB).
Fractional positions:
Sm (0.630, 0.066, 0.260)  -0.10
Sm (0.000, 0.222, 0.000)  -0.08
Sm (0.370, 0.934, 0.740)  -0.10
Sm (0.000, 0.778, 0.000)  -0.08
Mn (0.500, 0.000, 0.000)  1.17
I (0.166, 0.326, 0.333)  0.00
I (0.169, 0.840, 0.338)  0.00
I (0.831, 0.160, 0.662)  0.00
I (0.500, 0.500, 0.000)  0.00
I (0.834, 0.674, 0.667)  0.00


(3)
An optimized crystal structure of Nd2HoMg3, computed with PBE.

Summary:
space group = No. 123
volume = 171.1 Å³/cell
crystal system = tetragonal
ΔH_f (0 K) = -0.10 eV per atom

a = 3.841 Å, b = 3.841 Å, c = 11.596 Å
α = 90.00°, β = 90.00°, γ = 90.00°
Fractional positions:
Nd (0.500, 0.500, 0.829)
Nd (0.500, 0.500, 0.171)
Ho (0.500, 0.500, 0.500)
Mg (0.000, 0.000, 0.000)
Mg (0.000, 0.000, 0.658)
Mg (0.000, 0.000, 0.342)


(4)
An optimized crystal structure of HfBeS2Cl, computed with PBE.

Summary:
space group = No. 123
volume = 121.3 Å³/cell
polymorph energy (0 for the lowest one) = 0.045 eV/atom
crystal system = tetragonal
raw formation energy = -0.2913 eV/atom

a = 4.946 Å, b = 4.946 Å, c = 4.957 Å
α = 90.00°, β = 90.00°, γ = 90.00°
Each line ends with the local moment (μB).
Fractional positions:
Be (0.500, 0.500, 0.500)  0.24
S (0.000, 0.500, 0.000)  0.05
S (0.500, 0.000, 0.000)  0.05
Hf (0.000, 0.000, 0.000)  0.02
Cl (0.000, 0.000, 0.500)  0.01


(5)
An optimized crystal structure of AlAs2Br, computed with PBE.

Summary:
space group = No. 47
volume = 82.4 Å³/cell
polymorph energy (0 for the lowest one) = 0.576 eV/atom
crystal system = orthorhombic
raw formation energy = 0.3528 eV/atom

a = 3.250 Å, b = 5.009 Å, c = 5.060 Å
α = 90.00°, β = 90.00°, γ = 90.00°
Fractional positions:
As (0.000, 0.000, 0.000)
As (0.500, 0.500, 0.000)
Al (0.000, 0.500, 0.500)
Br (0.500, 0.000, 0.500)


(6)
An optimized crystal structure of CrSiAg3, computed with PBE.

Summary:
space group = No. 221
volume = 121.6 Å³/cell
polymorph energy (0 for the lowest one) = 0.657 eV/atom
crystal system = cubic
raw formation energy = 1.3152 eV/atom

a = 4.955 Å, b = 4.955 Å, c = 4.955 Å
α = 90.00°, β = 90.00°, γ = 90.00°
Each line ends with the local moment (μB).
Fractional positions:
Cr (0.000, 0.000, 0.000)  3.83
Si (0.500, 0.500, 0.500)  -0.07
Ag (0.000, 0.500, 0.000)  0.14
Ag (0.000, 0.000, 0.500)  0.17
Ag (0.500, 0.000, 0.000)  0.09


(7)
An optimized crystal structure of PaGaH, computed with PBE.

Summary:
space group = No. 63
volume = 94.5 Å³/cell
polymorph energy (0 for the lowest one) = 0.000 eV/atom
crystal system = orthorhombic

a = 4.119 Å, b = 4.120 Å, c = 5.937 Å
α = 110.33°, β = 90.00°, γ = 90.00°
Each line ends with the local moment (μB).
Fractional positions:
Pa (0.750, 0.347, 0.694)  0.57
Pa (0.250, 0.653, 0.306)  0.57
Ga (0.750, 0.068, 0.136)  -0.01
Ga (0.250, 0.932, 0.864)  -0.01
H (0.750, 0.751, 0.502)  0.00
H (0.250, 0.249, 0.498)  0.00


(8)
An optimized crystal structure of Cu2Pt3, computed with PBE.

Summary:
space group = No. 11
volume = 143.5 Å³/cell
polymorph energy (0 for the lowest one) = 0.045 eV/atom
crystal system = monoclinic
ΔH_f (0 K) = -0.12 eV per atom

a = 2.741 Å, b = 11.218 Å, c = 4.706 Å
α = 82.69°, β = 90.00°, γ = 90.00°
Fractional positions:
Cu (0.000, 0.003, 0.000)
Cu (0.500, 0.197, 0.100)
Cu (0.000, 0.803, 0.403)
Cu (0.500, 0.397, 0.697)
Pt (0.000, 0.392, 0.194)
Pt (0.500, 0.603, 0.301)
Pt (0.500, 0.000, 0.491)
Pt (0.000, 0.200, 0.609)
Pt (0.000, 0.597, 0.799)
Pt (0.500, 0.808, 0.906)


(9)
An optimized crystal structure of LiPr4Ag, computed with PBE.

Summary:
space group = No. 15
volume = 362.2 Å³/cell
crystal system = monoclinic
ΔH_f (0 K) = -0.01 eV per atom

a = 8.253 Å, b = 6.253 Å, c = 8.599 Å
α = 108.30°, β = 116.25°, γ = 95.94°
Fractional positions:
Li (0.095, 0.345, 0.690)
Li (0.905, 0.655, 0.310)
Pr (0.381, 0.094, 0.613)
Pr (0.126, 0.814, 0.089)
Pr (0.268, 0.482, 0.387)
Pr (0.537, 0.725, 0.911)
Pr (0.619, 0.906, 0.387)
Pr (0.732, 0.518, 0.613)
Pr (0.874, 0.186, 0.911)
Pr (0.463, 0.275, 0.089)
Ag (0.895, 0.145, 0.289)
Ag (0.105, 0.855, 0.711)


(10)
An optimized crystal structure of PrAl2CdAg, computed with PBE.

Summary:
space group = No. 119
volume = 110.1 Å³/cell
crystal system = tetragonal
ΔH_f (0 K) = -0.33 eV per atom

a = 4.433 Å, b = 4.433 Å, c = 6.420 Å
α = 110.20°, β = 110.20°, γ = 90.00°
Fractional positions:
Pr (0.000, 0.000, 0.000)
Al (0.612, 0.612, 0.225)
Al (0.388, 0.388, 0.775)
Cd (0.750, 0.250, 0.500)
Ag (0.250, 0.750, 0.500)


(11)
An optimized crystal structure of FeRe5, computed with PBE.

Summary:
space group = No. 65
volume = 86.5 Å³/cell
polymorph energy (0 for the lowest one) = 0.049 eV/atom
crystal system = orthorhombic
ΔH_f (0 K) = 0.08 eV per atom

a = 6.110 Å, b = 6.110 Å, c = 3.857 Å
α = 90.00°, β = 90.00°, γ = 143.06°
Each line ends with the local moment (μB).
Fractional positions:
Fe (0.972, 0.028, 0.000)  1.28
Re (0.811, 0.189, 0.500)  -0.02
Re (0.635, 0.365, 0.000)  0.00
Re (0.472, 0.528, 0.500)  -0.08
Re (0.310, 0.690, 0.000)  0.00
Re (0.134, 0.866, 0.500)  -0.02


(12)
An optimized crystal structure of SrLiY4, computed with PBE.

Summary:
space group = No. 216
volume = 221.4 Å³/cell
crystal system = cubic
ΔH_f (0 K) = 0.35 eV per atom

a = 6.790 Å, b = 6.790 Å, c = 6.790 Å
α = 60.00°, β = 60.00°, γ = 60.00°
Fractional positions:
Sr (0.000, 0.000, 0.000)
Li (0.750, 0.750, 0.750)
Y (0.874, 0.375, 0.375)
Y (0.375, 0.375, 0.874)
Y (0.375, 0.874, 0.375)
Y (0.375, 0.375, 0.375)


(13)
An optimized crystal structure of ZnSi2Tc, computed with PBE.

Summary:
space group = No. 216
volume = 55.9 Å³/cell
polymorph energy (0 for the lowest one) = 0.506 eV/atom
crystal system = cubic
raw formation energy = 0.3949 eV/atom

a = 4.293 Å, b = 4.293 Å, c = 4.293 Å
α = 60.00°, β = 60.00°, γ = 60.00°
Each line ends with the local moment (μB).
Fractional positions:
Si (0.000, 0.000, 0.000)  0.01
Si (0.250, 0.250, 0.250)  0.00
Tc (0.500, 0.500, 0.500)  0.17
Zn (0.750, 0.750, 0.750)  0.01


(14)
An optimized crystal structure of Pu2GeRu, computed with PBE.

Summary:
space group = No. 11
volume = 149.6 Å³/cell
crystal system = monoclinic
ΔH_f (0 K) = -0.02 eV per atom

a = 3.421 Å, b = 5.416 Å, c = 9.940 Å
α = 125.66°, β = 90.00°, γ = 90.00°
Each line ends with the local moment (μB).
Fractional positions:
Pu (0.750, 0.320, 0.444)  0.89
Pu (0.250, 0.680, 0.556)  0.89
Pu (0.250, 0.688, 0.063)  0.44
Pu (0.750, 0.312, 0.937)  0.44
Ge (0.750, 0.665, 0.303)  0.00
Ge (0.250, 0.335, 0.697)  0.00
Ru (0.250, 0.210, 0.155)  -0.04
Ru (0.750, 0.790, 0.845)  -0.04


(15)
An optimized crystal structure of Zr4ZnP, computed with PBE.

Summary:
space group = No. 124
volume = 232.9 Å³/cell
polymorph energy (0 for the lowest one) = 0.000 eV/atom
crystal system = tetragonal
ΔH_f (0 K) = -0.61 eV per atom

a = 5.396 Å, b = 6.570 Å, c = 6.570 Å
α = 90.00°, β = 90.00°, γ = 90.00°
Fractional positions:
Zr (0.000, 0.164, 0.648)
Zr (0.000, 0.836, 0.352)
Zr (0.000, 0.352, 0.164)
Zr (0.000, 0.648, 0.836)
Zr (0.500, 0.836, 0.648)
Zr (0.500, 0.164, 0.352)
Zr (0.500, 0.648, 0.164)
Zr (0.500, 0.352, 0.836)
Zn (0.250, 0.000, 0.000)
Zn (0.750, 0.000, 0.000)
P (0.250, 0.500, 0.500)
P (0.750, 0.500, 0.500)


(16)
An optimized crystal structure of Ca2ThPaN4, computed with PBE.

Summary:
space group = No. 10
volume = 129.8 Å³/cell
crystal system = monoclinic
raw formation energy = -1.4332 eV/atom

a = 3.613 Å, b = 6.261 Å, c = 6.101 Å
α = 109.87°, β = 90.00°, γ = 90.00°
Fractional positions:
Ca (0.500, 0.000, 0.500)
Ca (0.000, 0.500, 0.500)
Th (0.500, 0.500, 0.000)
Pa (0.000, 0.000, 0.000)
N (0.500, 0.226, 0.216)
N (0.500, 0.774, 0.784)
N (0.000, 0.243, 0.781)
N (0.000, 0.757, 0.219)


(17)
An optimized crystal structure of SrAlAs2Se, computed with PBE.

Summary:
space group = No. 123
volume = 187.0 Å³/cell
polymorph energy (0 for the lowest one) = 1.172 eV/atom
crystal system = tetragonal
raw formation energy = 0.7584 eV/atom

a = 5.725 Å, b = 5.725 Å, c = 5.707 Å
α = 90.00°, β = 90.00°, γ = 90.00°
Each line ends with the local moment (μB).
Fractional positions:
Sr (0.000, 0.000, 0.000)  0.01
As (0.000, 0.500, 0.000)  0.22
As (0.500, 0.000, 0.000)  0.22
Al (0.500, 0.500, 0.500)  0.01
Se (0.000, 0.000, 0.500)  0.11


(18)
An optimized crystal structure of Y6CuPd2, computed with PBE.

Summary:
space group = No. 14
volume = 483.7 Å³/cell
crystal system = monoclinic
ΔH_f (0 K) = -0.39 eV per atom

a = 6.684 Å, b = 7.229 Å, c = 10.014 Å
α = 90.00°, β = 88.71°, γ = 90.00°
Fractional positions:
Y (0.838, 0.964, 0.244)
Y (0.819, 0.669, 0.568)
Y (0.851, 0.682, 0.932)
Y (0.649, 0.182, 0.568)
Y (0.681, 0.169, 0.932)
Y (0.662, 0.464, 0.256)
Y (0.162, 0.036, 0.756)
Y (0.181, 0.331, 0.432)
Y (0.149, 0.318, 0.068)
Y (0.351, 0.818, 0.432)
Y (0.319, 0.831, 0.068)
Y (0.338, 0.536, 0.744)
Cu (0.500, 0.500, 0.000)
Cu (0.000, 0.000, 0.500)
Pd (0.937, 0.378, 0.751)
Pd (0.563, 0.878, 0.749)
Pd (0.437, 0.122, 0.251)
Pd (0.063, 0.622, 0.249)


(19)
An optimized crystal structure of Mg2AlPt, computed with PBE.

Summary:
space group = No. 122
volume = 193.2 Å³/cell
crystal system = tetragonal
ΔH_f (0 K) = -0.26 eV per atom

a = 8.899 Å, b = 8.899 Å, c = 6.749 Å
α = 48.75°, β = 48.75°, γ = 90.00°
Fractional positions:
Mg (0.749, 0.125, 0.250)
Mg (0.001, 0.625, 0.250)
Mg (0.375, 0.251, 0.750)
Mg (0.875, 0.999, 0.750)
Al (0.500, 0.500, 0.000)
Al (0.250, 0.750, 0.500)
Pt (0.000, 0.000, 0.000)
Pt (0.750, 0.250, 0.500)


(20)
An optimized crystal structure of TmMgTlCl6, computed with PBE.

Summary:
space group = No. 163
volume = 557.3 Å³/cell
crystal system = trigonal
raw formation energy = -1.8844 eV/atom

a = 6.736 Å, b = 6.736 Å, c = 14.182 Å
α = 90.00°, β = 90.00°, γ = 120.00°
Fractional positions:
Tm (0.667, 0.333, 0.250)
Tm (0.333, 0.667, 0.750)
Mg (0.333, 0.667, 0.250)
Mg (0.667, 0.333, 0.750)
Tl (0.000, 0.000, 0.000)
Tl (0.000, 0.000, 0.500)
Cl (0.621, 0.630, 0.147)
Cl (0.009, 0.379, 0.147)
Cl (0.379, 0.009, 0.647)
Cl (0.991, 0.621, 0.853)
Cl (0.370, 0.379, 0.353)
Cl (0.009, 0.630, 0.353)
Cl (0.630, 0.009, 0.853)
Cl (0.621, 0.991, 0.353)
Cl (0.991, 0.370, 0.647)
Cl (0.370, 0.991, 0.147)
Cl (0.630, 0.621, 0.647)
Cl (0.379, 0.370, 0.853)


(21)
An optimized crystal structure of Tb2Ce2Si4Ni, computed with PBE.

Summary:
space group = No. 139
volume = 192.7 Å³/cell
crystal system = tetragonal
raw formation energy = -0.3921 eV/atom

a = 6.337 Å, b = 6.337 Å, c = 6.337 Å
α = 100.93°, β = 113.91°, γ = 113.91°
Each line ends with the local moment (μB).
Fractional positions:
Tb (0.500, 0.750, 0.250)  0.10
Tb (0.500, 0.250, 0.750)  0.10
Ce (0.000, 0.676, 0.676)  0.65
Ce (0.000, 0.324, 0.324)  0.65
Si (0.000, 0.769, 0.231)  -0.01
Si (0.539, 0.769, 0.769)  -0.01
Si (0.000, 0.231, 0.769)  -0.01
Si (0.461, 0.231, 0.231)  -0.01
Ni (0.000, 0.000, 0.000)  -0.01


(22)
An optimized crystal structure of DyHg2H, computed with PBE.

Summary:
space group = No. 11
volume = 155.6 Å³/cell
crystal system = monoclinic

a = 3.855 Å, b = 3.856 Å, c = 10.470 Å
α = 90.00°, β = 90.12°, γ = 90.00°
Fractional positions:
Dy (0.751, 0.250, 0.614)
Dy (0.249, 0.750, 0.386)
Hg (0.749, 0.250, 0.234)
Hg (0.251, 0.750, 0.766)
Hg (0.751, 0.250, 0.919)
Hg (0.249, 0.750, 0.081)
H (0.250, 0.250, 0.500)
H (0.750, 0.750, 0.500)


(23)
An optimized crystal structure of CsCu2IrCl8, computed with PBE.

Summary:
space group = No. 155
volume = 386.0 Å³/cell
crystal system = trigonal
raw formation energy = -0.6377 eV/atom

a = 6.948 Å, b = 6.948 Å, c = 10.065 Å
α = 69.81°, β = 69.81°, γ = 60.00°
Each line ends with the local moment (μB).
Fractional positions:
Cs (0.000, 0.000, 0.000)  0.00
Cu (0.760, 0.760, 0.719)  0.29
Cu (0.240, 0.240, 0.281)  0.29
Ir (0.500, 0.500, 0.500)  0.59
Cl (0.682, 0.682, 0.955)  0.08
Cl (0.318, 0.318, 0.045)  0.08
Cl (0.440, 0.364, 0.340)  0.07
Cl (0.636, 0.560, 0.660)  0.07
Cl (0.144, 0.636, 0.660)  0.07
Cl (0.364, 0.856, 0.340)  0.07
Cl (0.856, 0.440, 0.340)  0.07
Cl (0.560, 0.144, 0.660)  0.07


(24)
An optimized crystal structure of Cd2AgHg2Pd5, computed with PBE.

Summary:
space group = No. 127
volume = 379.9 Å³/cell
crystal system = tetragonal
ΔH_f (0 K) = -0.07 eV per atom

a = 3.644 Å, b = 10.210 Å, c = 10.210 Å
α = 90.00°, β = 90.00°, γ = 90.00°
Fractional positions:
Cd (0.000, 0.148, 0.648)
Cd (0.000, 0.852, 0.352)
Cd (0.000, 0.648, 0.852)
Cd (0.000, 0.352, 0.148)
Ag (0.000, 0.000, 0.000)
Ag (0.000, 0.500, 0.500)
Hg (0.000, 0.646, 0.146)
Hg (0.000, 0.354, 0.854)
Hg (0.000, 0.146, 0.354)
Hg (0.000, 0.854, 0.646)
Pd (0.500, 0.144, 0.145)
Pd (0.500, 0.856, 0.855)
Pd (0.500, 0.145, 0.856)
Pd (0.500, 0.644, 0.355)
Pd (0.500, 0.855, 0.144)
Pd (0.500, 0.356, 0.645)
Pd (0.500, 0.645, 0.644)
Pd (0.500, 0.355, 0.356)
Pd (0.500, 0.500, 0.000)
Pd (0.500, 0.000, 0.500)


Number 1: calculated total energy -8.0640 eV/atom. Number 2: calculated total energy -4.5044 eV/atom. Number 3: calculated total energy -3.2457 eV/atom. Number 4: calculated total energy -5.0475 eV/atom. Number 5: calculated total energy -3.3258 eV/atom. Number 6: calculated total energy -3.4048 eV/atom. Number 7: calculated total energy -5.7000 eV/atom. Number 8: calculated total energy -5.3852 eV/atom. Number 9: calculated total energy -3.9907 eV/atom. Number 10: calculated total energy -3.5328 eV/atom. Number 11: calculated total energy -11.7033 eV/atom. Number 12: calculated total energy -4.5544 eV/atom. Number 13: calculated total energy -5.2266 eV/atom. Number 14: calculated total energy -10.6636 eV/atom. Number 15: calculated total energy -7.4249 eV/atom. Number 16: calculated total energy -8.2107 eV/atom. Number 17: calculated total energy -2.8832 eV/atom. Number 18: calculated total energy -6.3038 eV/atom. Number 19: calculated total energy -3.5029 eV/atom. Number 20: calculated total energy -4.0524 eV/atom. Number 21: calculated total energy -5.7923 eV/atom. Number 22: calculated total energy -2.5318 eV/atom. Number 23: calculated total energy -3.3610 eV/atom. Number 24: calculated total energy -3.1912 eV/atom.